No. 1
Density functional theory data (PBE) for a relaxed U3AlHg3Se8 crystal.

Computed properties:
formation energy without anion corrections	-0.763	eV per atom
space group	R-3m

Cell lengths 7.980, 7.981, 10.643 Å; angles 112.01, 90.00, 120.00 degrees
Last column: magnetic moment on the atom in μB.
Fractional positions:
Se1 0.209 0.419 0.657  -0.07
U1 0.500 0.000 0.500  1.82
Se2 0.791 0.581 0.343  -0.07
Se3 0.278 0.556 0.333  -0.08
Se4 0.722 0.444 0.667  -0.08
Hg1 0.000 0.000 0.000  -0.01
Se5 0.738 0.948 0.657  -0.07
Al1 0.000 0.000 0.500  0.00
Se6 0.262 0.052 0.343  -0.07
Hg2 0.500 0.500 0.000  -0.01
Hg3 0.000 0.500 0.000  -0.01
Se7 0.209 0.948 0.657  -0.07
U2 0.000 0.500 0.500  1.82
Se8 0.791 0.052 0.343  -0.07
U3 0.500 0.500 0.500  1.82

No. 2
Density functional theory data (PBE) for a relaxed AlSiHg2 crystal.

Computed properties:
formation energy without anion corrections	0.386	eV per atom
space group	Pmmm

Cell lengths 2.973, 5.324, 5.283 Å; angles 90.00, 90.00, 90.00 degrees
Fractional positions:
Hg1 0.000 0.000 0.000
Si1 0.500 0.000 0.500
Hg2 0.500 0.500 0.000
Al1 0.000 0.500 0.500

No. 3
Density functional theory data (PBE) for a relaxed AlSiHg2 crystal.

Computed properties:
formation energy without anion corrections	0.471	eV per atom
space group	F-43m

Cell lengths 4.925, 4.925, 4.925 Å; angles 60.00, 60.00, 60.00 degrees
Fractional positions:
Al1 0.500 0.500 0.500
Hg1 0.000 0.000 0.000
Si1 0.750 0.750 0.750
Hg2 0.250 0.250 0.250

No. 4
Density functional theory data (PBE) for a relaxed AlSi2Hg crystal.

Computed properties:
formation energy without anion corrections	0.573	eV per atom
space group	Fm-3m
polymorph energy (0 for the lowest one)	327.7	meV per atom

Cell lengths 4.723, 4.723, 4.723 Å; angles 60.00, 60.00, 60.00 degrees
Fractional positions:
Al1 0.000 0.000 0.000
Si1 0.250 0.250 0.250
Si2 0.750 0.750 0.750
Hg1 0.500 0.500 0.500

No. 5
Density functional theory data (PBE) for a relaxed AlSi2Hg crystal.

Computed properties:
formation energy without anion corrections	0.394	eV per atom
space group	P-1
polymorph energy (0 for the lowest one)	149.7	meV per atom

Cell lengths 3.896, 5.663, 3.762 Å; angles 71.19, 88.94, 108.93 degrees
Fractional positions:
Hg1 0.500 0.500 0.000
Si1 0.000 0.000 0.000
Al1 0.000 0.500 0.500
Si2 0.500 0.000 0.500

No. 6
Density functional theory data (PBE) for a relaxed AlSi2Hg crystal.

Computed properties:
formation energy without anion corrections	0.516	eV per atom
space group	I-4m2
polymorph energy (0 for the lowest one)	270.8	meV per atom

Cell lengths 4.946, 4.946, 4.946 Å; angles 128.47, 128.47, 75.86 degrees
Fractional positions:
Si1 0.000 0.000 0.000
Hg1 0.750 0.250 0.500
Si2 0.250 0.750 0.500
Al1 0.500 0.500 0.000

No. 7
Density functional theory data (PBE) for a relaxed AlSiHg2 crystal.

Computed properties:
formation energy without anion corrections	0.341	eV per atom
space group	Cmmm

Cell lengths 5.038, 4.122, 4.118 Å; angles 87.64, 90.00, 90.00 degrees
Fractional positions:
Hg1 0.000 0.499 0.499
Al1 0.500 0.750 0.750
Hg2 0.000 0.001 0.001
Si1 0.500 0.250 0.250

No. 8
Density functional theory data (PBE) for a relaxed AlSi2Hg crystal.

Computed properties:
formation energy without anion corrections	0.367	eV per atom
space group	R3m
polymorph energy (0 for the lowest one)	122.6	meV per atom

Cell lengths 10.093, 10.093, 10.093 Å; angles 17.06, 17.06, 17.06 degrees
Fractional positions:
Hg1 0.752 0.752 0.752
Si1 0.252 0.252 0.252
Si2 0.979 0.979 0.979
Al1 0.517 0.517 0.517

No. 9
Density functional theory data (PBE) for a relaxed AlSiHg2 crystal.

Computed properties:
formation energy without anion corrections	0.426	eV per atom
space group	P4/mmm

Cell lengths 3.108, 3.108, 8.563 Å; angles 90.00, 90.00, 90.00 degrees
Fractional positions:
Hg1 0.000 0.000 0.503
Si1 0.500 0.500 0.250
Hg2 0.000 0.000 0.997
Al1 0.500 0.500 0.750

No. 10
Density functional theory data (PBE) for a relaxed AlSiHg2 crystal.

Computed properties:
formation energy without anion corrections	0.401	eV per atom
space group	Immm

Cell lengths 6.181, 6.181, 6.181 Å; angles 153.30, 127.17, 60.16 degrees
Fractional positions:
Hg1 0.999 0.999 0.000
Si1 0.250 0.750 0.500
Hg2 0.501 0.501 0.000
Al1 0.750 0.250 0.500

No. 11
Density functional theory data (PBE) for a relaxed Al2Si2Hg crystal.

Computed properties:
formation energy without anion corrections	0.142	eV per atom
space group	I4/mmm
polymorph energy (0 for the lowest one)	0.0	meV per atom

Cell lengths 4.436, 4.436, 5.873 Å; angles 67.81, 67.81, 90.00 degrees
Fractional positions:
Hg1 0.000 0.000 0.000
Al1 0.250 0.750 0.500
Al2 0.750 0.250 0.500
Si1 0.382 0.382 0.236
Si2 0.618 0.618 0.764

No. 12
Density functional theory data (PBE) for a relaxed AlSi2Hg crystal.

Computed properties:
formation energy without anion corrections	0.467	eV per atom
space group	I-42d
polymorph energy (0 for the lowest one)	221.8	meV per atom

Cell lengths 4.894, 4.894, 8.183 Å; angles 72.60, 72.60, 90.00 degrees
Fractional positions:
Hg1 0.750 0.250 0.500
Si1 0.875 0.851 0.750
Al1 0.250 0.750 0.500
Si2 0.601 0.125 0.250
Si3 0.375 0.399 0.750
Al2 0.500 0.500 0.000
Si4 0.149 0.625 0.250
Hg2 0.000 0.000 0.000

No. 13
Density functional theory data (PBE) for a relaxed AlSiHg4 crystal.

Computed properties:
formation energy without anion corrections	0.564	eV per atom
space group	F-43m

Cell lengths 5.932, 5.932, 5.932 Å; angles 60.00, 60.00, 60.00 degrees
Fractional positions:
Hg1 0.875 0.375 0.375
Si1 0.750 0.750 0.750
Hg2 0.375 0.375 0.875
Al1 0.000 0.000 0.000
Hg3 0.375 0.875 0.375
Hg4 0.375 0.375 0.375

No. 14
Density functional theory data (PBE) for a relaxed AlSiHg2 crystal.

Computed properties:
formation energy without anion corrections	0.289	eV per atom
space group	Cm

Cell lengths 6.673, 6.673, 4.576 Å; angles 69.99, 69.99, 26.69 degrees
Fractional positions:
Hg1 0.977 0.977 0.021
Hg2 0.779 0.779 0.723
Si1 0.533 0.533 0.464
Al1 0.210 0.210 0.292